The following is a PBE calculation of a relaxed structure of HgGeS2O8, from Alexandria via LeMat-Bulk.

```
HgGeS2O8
1.0
6.178 0.000 0.000
3.089 5.005 0.560
3.089 2.620 5.521
Hg Ge S O
1 1 2 8
Direct
0.500 0.500 0.500 Hg
0.000 0.000 0.000 Ge
0.303 0.248 0.146 S
0.697 0.752 0.854 S
0.853 0.563 0.731 O
0.673 0.516 0.139 O
0.147 0.437 0.269 O
0.327 0.484 0.861 O
0.562 0.039 0.225 O
0.438 0.961 0.775 O
0.173 0.039 0.225 O
0.827 0.961 0.775 O
```

Values from the calculation:
E   -5.455 eV/atom
Fermi-level density of states   0.000 states/eV/f.u.
ρ   4.8 g cm⁻³
Total magnetization   0.0 μB per cell
Symmetry   No. 12